Record 1
CeGaCo5P2 | PBE | relaxed

```
CeGaCo5P2
1.0
3.742 0.000 0.000
0.000 3.742 0.000
0.000 0.000 9.415
Ce Ga Co P
1 1 5 2
Cartesian
0.000 0.000 0.000
0.000 0.000 4.707
0.000 1.871 3.201
0.000 1.871 6.214
1.871 0.000 3.201
1.871 0.000 6.214
1.871 1.871 0.000
1.871 1.871 2.146
1.871 1.871 7.269
```

## Properties
Magnetization: 0.03 μB/f.u.
Formation energy: -0.426 eV/atom
DOS at the Fermi energy: 6.5 states/eV per cell



Record 2
CePmGaCo | PBE | relaxed

```
CePmGaCo
1.0
7.114 0.000 0.000
0.000 7.114 0.000
0.000 0.000 7.114
Ce Pm Ga Co
4 4 4 4
Cartesian
0.000 0.000 0.000
0.000 3.557 3.557
3.557 0.000 3.557
3.557 3.557 0.000
0.000 0.000 3.557
0.000 3.557 0.000
3.557 0.000 0.000
3.557 3.557 3.557
1.779 1.779 1.779
1.779 5.336 5.336
5.336 1.779 5.336
5.336 5.336 1.779
1.779 1.779 5.336
1.779 5.336 1.779
5.336 1.779 1.779
5.336 5.336 5.336
```

## Properties
Magnetization: 0.49 μB/f.u.
Formation energy: -0.195 eV/atom
DOS at the Fermi energy: 22.8 states/eV per cell



Record 3
Ce2Ga3CoPt4 | PBE | relaxed

```
Ce2Ga3CoPt4
1.0
4.119 0.000 0.000
0.000 4.119 0.000
0.000 0.000 10.977
Ce Ga Co Pt
2 3 1 4
Cartesian
0.000 2.060 2.616
2.060 0.000 8.361
0.000 0.000 0.000
0.000 2.060 6.964
2.060 0.000 4.013
2.060 2.060 0.000
0.000 0.000 5.488
0.000 2.060 9.449
2.060 0.000 1.528
2.060 2.060 5.488
```

## Properties
Magnetization: 2.30 μB/f.u.
Formation energy: -0.802 eV/atom
DOS at the Fermi energy: 12.2 states/eV per cell